1.
VASP calculation (GGA-PBE) on a relaxed Na2Hg2F7 crystal.

Summary:
Volume ... 174.56 Å³/f.u.
Formation energy without anion corrections ... -1.77 eV/atom
E ... -0.2391 Ry/atom
Total moment ... 1.04 μB per formula unit
D(E_F) ... 7.42 states/eV/f.u.

The structure in extended XYZ format:
```
11
Lattice="5.577 -0.001 -0.064 0.004 5.631 0.001 -0.411 -0.003 5.563" Properties=species:S:1:pos:R:3 pbc="T T T"
Na 3.765 2.812 4.006
Na 1.405 2.814 1.494
F 5.372 1.411 2.719
F 2.587 4.261 2.749
F 2.789 1.414 -0.031
F 2.583 1.365 2.751
F -0.201 4.215 2.781
F 2.382 4.213 5.531
F 0.000 0.000 0.000
Hg 1.215 -0.003 4.035
Hg 3.956 5.629 1.465
```

***

2.
VASP calculation (GGA-PBE) on a relaxed YPaHgRu crystal.

Summary:
Volume ... 91.28 Å³/f.u.
E ... -0.4771 Ry/atom
Total moment ... 0.63 μB per formula unit
D(E_F) ... 5.17 states/eV/f.u.

The structure in extended XYZ format:
```
4
Lattice="-2.714 2.849 3.172 0.244 -0.829 4.979 2.313 3.338 3.007" Properties=species:S:1:pos:R:3 pbc="T T T"
Pa -0.078 2.679 5.579
Y 0.000 0.000 0.000
Ru -0.117 4.018 8.369
Hg -0.039 1.339 2.790
```

***

3.
VASP calculation (GGA-PBE) on a relaxed HfInSn crystal.

Summary:
Energy relative to the lowest polymorph listed for this composition ... 0.122 eV/atom
Volume ... 68.70 Å³/f.u.
E ... -0.4035 Ry/atom
Total moment ... 0.00 μB per formula unit
D(E_F) ... 2.81 states/eV/f.u.

The structure in extended XYZ format:
```
3
Lattice="-1.848 1.774 -1.442 0.735 -2.761 -4.339 -3.807 -1.294 3.289" Properties=species:S:1:pos:R:3 pbc="T T T"
Hf -1.848 1.773 -1.441
In -1.703 -1.385 -2.517
Sn -3.218 -0.895 0.025
```

***

Copy entry 1 word for word.
VASP calculation (GGA-PBE) on a relaxed Na2Hg2F7 crystal.

Summary:
Volume ... 174.56 Å³/f.u.
Formation energy without anion corrections ... -1.77 eV/atom
E ... -0.2391 Ry/atom
Total moment ... 1.04 μB per formula unit
D(E_F) ... 7.42 states/eV/f.u.

The structure in extended XYZ format:
```
11
Lattice="5.577 -0.001 -0.064 0.004 5.631 0.001 -0.411 -0.003 5.563" Properties=species:S:1:pos:R:3 pbc="T T T"
Na 3.765 2.812 4.006
Na 1.405 2.814 1.494
F 5.372 1.411 2.719
F 2.587 4.261 2.749
F 2.789 1.414 -0.031
F 2.583 1.365 2.751
F -0.201 4.215 2.781
F 2.382 4.213 5.531
F 0.000 0.000 0.000
Hg 1.215 -0.003 4.035
Hg 3.956 5.629 1.465
```